w.
# TbPr3Sc2

Crystalline TbPr3Sc2 at its relaxed geometry (GGA-PBE, Alexandria via LeMat-Bulk).

a = 5.5401 Å, b = 8.8104 Å, c = 8.8104 Å
α = 111.83°, β = 90.00°, γ = 90.00°
Positions (direct):
Tb 0.9930 0.7223 0.7223
Tb 0.4930 0.2777 0.2777
Pr 0.9930 0.8906 0.3770
Pr 0.4930 0.6230 0.1094
Pr 0.9930 0.3770 0.8906
Pr 0.4930 0.1094 0.6230
Pr 0.4930 0.9062 0.9062
Pr 0.9930 0.0938 0.0938
Sc 0.4930 0.6943 0.4883
Sc 0.9930 0.5117 0.3057
Sc 0.4930 0.4883 0.6943
Sc 0.9930 0.3057 0.5117

space group	Cmcm, No. 63
V	200	Å³/f.u.
DOS(E_F)	1.792	states/eV per atom

=====

x.
# TbPr3Sc2

Crystalline TbPr3Sc2 at its relaxed geometry (GGA-PBE, Alexandria via LeMat-Bulk).

a = 3.4673 Å, b = 9.6701 Å, c = 11.8639 Å
α = 71.65°, β = 90.00°, γ = 90.00°
Positions (direct):
Tb 0.2500 0.6462 0.3716
Tb 0.7500 0.3538 0.6284
Pr 0.7500 0.8853 0.1291
Pr 0.2500 0.1147 0.8709
Pr 0.7500 0.7813 0.8689
Pr 0.2500 0.2187 0.1311
Pr 0.2500 0.2960 0.3836
Pr 0.7500 0.7040 0.6164
Sc 0.2500 0.4722 0.8553
Sc 0.7500 0.5278 0.1447
Sc 0.7500 0.9849 0.3812
Sc 0.2500 0.0151 0.6188

space group	P2_1/m, No. 11
V	189	Å³/f.u.
DOS(E_F)	1.496	states/eV per atom

=====

Which of the structures shown above is the most stable? The most stable is x.